Entry 1:
SmAlGa4, optimized geometry, DFT GGA-PBE; SG = Immm; total magnetic moment = 0.000 Bohr magnetons per cell; raw total energy = -3.76 eV per atom; calculated volume = 119 Å³/cell; formation enthalpy at 0 K = -0.33 eV per atom; relative energy among the computed polymorphs = 0 meV per atom; crystal system = orthorhombic
1.0
-3.654 -1.814 0.535
-2.274 -1.610 -5.164
0.682 -5.374 2.254
Sm Al Ga
1 1 4
Direct
0.000 0.000 0.000 Sm
0.500 0.500 0.500 Al
0.208 0.453 0.131 Ga
0.208 0.131 0.453 Ga
0.792 0.547 0.869 Ga
0.792 0.869 0.547 Ga


Entry 2:
SmAlGa2, optimized geometry, DFT GGA-PBE; SG = P4/mmm; total magnetic moment = 0.000 Bohr magnetons per cell; raw total energy = -4.11 eV per atom; calculated volume = 81 Å³/cell; formation enthalpy at 0 K = -0.48 eV per atom; crystal system = tetragonal
1.0
-0.892 -2.964 2.930
-1.831 -2.492 -3.078
3.854 -1.903 -0.752
Ga Sm Al
2 1 1
Direct
0.000 0.000 0.500 Ga
0.000 0.500 0.000 Ga
0.500 0.500 0.500 Sm
0.500 0.000 0.000 Al


Q: Which value of total magnetic moment does entry 1 give?
A: 0.000 Bohr magnetons per cell


Q: What is the formation enthalpy at 0 K in the first record?
A: -0.33 eV per atom


Q: Number 1 is which compound?
A: SmAlGa4


Q: calculated volume of number 2 (SmAlGa2)?
A: 81 Å³/cell